(1)
Below is an optimized crystal structure of SmCu4Pd, with properties calculated at the PBE-GGA level.

a = 5.0476 Å, b = 5.0476 Å, c = 5.0476 Å
α = 60.00°, β = 60.00°, γ = 60.00°
Sites, in units of the cell vectors:
Sm (0.0000, 0.0000, 0.0000)
Cu (0.3762, 0.3762, 0.3762)
Cu (0.3762, 0.3762, 0.8714)
Cu (0.3762, 0.8714, 0.3762)
Cu (0.8714, 0.3762, 0.3762)
Pd (0.7500, 0.7500, 0.7500)

## Properties
The formation energy is -31.4 kJ per mole of atoms. The value obtained for the total magnetization is 0.0 μB/f.u. The calculation puts the relative energy among the computed polymorphs at 0.000 eV per atom. The density of states at the Fermi level is 0.487 states/eV/atom.

(2)
Below is an optimized crystal structure of SmCu4Pd, with properties calculated at the PBE-GGA level.

a = 5.2308 Å, b = 5.2308 Å, c = 5.2308 Å
α = 57.09°, β = 57.09°, γ = 57.09°
Sites, in units of the cell vectors:
Sm (0.0000, 0.0000, 0.0000)
Cu (0.3694, 0.3694, 0.8677)
Cu (0.3694, 0.8677, 0.3694)
Cu (0.7685, 0.7685, 0.7685)
Cu (0.8677, 0.3694, 0.3694)
Pd (0.3714, 0.3714, 0.3714)

## Properties
The formation energy is -28.1 kJ per mole of atoms. The value obtained for the total magnetization is 0.0 μB/f.u. The calculation puts the relative energy among the computed polymorphs at 0.034 eV per atom. The density of states at the Fermi level is 0.410 states/eV/atom.

(3)
Below is an optimized crystal structure of SmCu2Pd5, with properties calculated at the PBE-GGA level.

a = 6.3509 Å, b = 6.3509 Å, c = 6.3509 Å
α = 144.73°, β = 108.41°, γ = 82.40°
Sites, in units of the cell vectors:
Sm (0.0000, 0.0000, 0.0000)
Cu (0.2381, 0.7381, 0.5000)
Cu (0.7619, 0.2619, 0.5000)
Pd (0.1626, 0.3524, 0.8102)
Pd (0.4578, 0.6476, 0.8102)
Pd (0.5000, 0.0000, 0.5000)
Pd (0.5422, 0.3524, 0.1898)
Pd (0.8374, 0.6476, 0.1898)

## Properties
The formation energy is -26.9 kJ per mole of atoms. The value obtained for the total magnetization is 0.0 μB/f.u. The density of states at the Fermi level is 0.626 states/eV/atom.

(4)
Below is an optimized crystal structure of Sm2Cu3Pd, with properties calculated at the PBE-GGA level.

a = 3.6732 Å, b = 4.3285 Å, c = 7.5091 Å
α = 90.00°, β = 90.00°, γ = 90.00°
Sites, in units of the cell vectors:
Sm (0.0000, 0.0000, 0.0000)
Sm (0.0000, 0.5000, 0.4960)
Cu (0.5000, 0.0000, 0.6753)
Cu (0.5000, 0.5000, 0.1524)
Cu (0.5000, 0.5000, 0.8278)
Pd (0.5000, 0.0000, 0.3336)

## Properties
The formation energy is -37.5 kJ per mole of atoms. The value obtained for the total magnetization is 0.0 μB/f.u. The calculation puts the relative energy among the computed polymorphs at 0.008 eV per atom. The density of states at the Fermi level is 0.854 states/eV/atom.

(5)
Below is an optimized crystal structure of Sm3Cu2Pd3, with properties calculated at the PBE-GGA level.

a = 5.7095 Å, b = 5.7095 Å, c = 14.9498 Å
α = 90.00°, β = 90.00°, γ = 136.34°
Sites, in units of the cell vectors:
Sm (0.0867, 0.9133, 0.6027)
Sm (0.0867, 0.9133, 0.8973)
Sm (0.3607, 0.6393, 0.7500)
Sm (0.6393, 0.3607, 0.2500)
Sm (0.9133, 0.0867, 0.1027)
Sm (0.9133, 0.0867, 0.3973)
Cu (0.2114, 0.7886, 0.1066)
Cu (0.2114, 0.7886, 0.3934)
Cu (0.7886, 0.2114, 0.6066)
Cu (0.7886, 0.2114, 0.8934)
Pd (0.3557, 0.6443, 0.2500)
Pd (0.3825, 0.6175, 0.5407)
Pd (0.3825, 0.6175, 0.9593)
Pd (0.6175, 0.3825, 0.0407)
Pd (0.6175, 0.3825, 0.4593)
Pd (0.6443, 0.3557, 0.7500)

## Properties
The formation energy is -59.0 kJ per mole of atoms. The value obtained for the total magnetization is 0.0 μB/f.u. The density of states at the Fermi level is 0.515 states/eV/atom.

(6)
Below is an optimized crystal structure of Sm4CuPd, with properties calculated at the PBE-GGA level.

a = 7.1137 Å, b = 7.0548 Å, c = 6.9926 Å
α = 90.00°, β = 90.03°, γ = 90.00°
Sites, in units of the cell vectors:
Sm (0.1576, 0.1547, 0.1512)
Sm (0.1576, 0.3453, 0.6512)
Sm (0.3386, 0.6590, 0.1642)
Sm (0.3386, 0.8410, 0.6642)
Sm (0.6614, 0.1590, 0.3358)
Sm (0.6614, 0.3410, 0.8358)
Sm (0.8424, 0.6547, 0.3488)
Sm (0.8424, 0.8453, 0.8488)
Cu (0.5000, 0.0000, 0.0000)
Cu (0.5000, 0.5000, 0.5000)
Pd (0.0000, 0.0000, 0.5000)
Pd (0.0000, 0.5000, 0.0000)

## Properties
The formation energy is -18.6 kJ per mole of atoms. The value obtained for the total magnetization is 0.0 μB/f.u. The density of states at the Fermi level is 1.338 states/eV/atom.

(7)
Below is an optimized crystal structure of Sm2CuPd6, with properties calculated at the PBE-GGA level.

a = 5.7381 Å, b = 5.7381 Å, c = 5.8304 Å
α = 90.00°, β = 90.00°, γ = 120.00°
Sites, in units of the cell vectors:
Sm (0.3333, 0.6667, 0.1719)
Sm (0.6667, 0.3333, 0.8281)
Cu (0.0000, 0.0000, 0.0000)
Pd (0.1733, 0.3466, 0.6869)
Pd (0.1733, 0.8267, 0.6869)
Pd (0.3466, 0.1733, 0.3131)
Pd (0.6534, 0.8267, 0.6869)
Pd (0.8267, 0.1733, 0.3131)
Pd (0.8267, 0.6534, 0.3131)

## Properties
The formation energy is -61.7 kJ per mole of atoms. The value obtained for the total magnetization is 0.0 μB/f.u. The density of states at the Fermi level is 0.355 states/eV/atom.

(8)
Below is an optimized crystal structure of SmCu4Pd2, with properties calculated at the PBE-GGA level.

a = 5.8029 Å, b = 5.8029 Å, c = 5.8029 Å
α = 102.55°, β = 102.55°, γ = 124.44°
Sites, in units of the cell vectors:
Sm (0.0000, 0.0000, 0.0000)
Cu (0.2784, 0.5000, 0.7784)
Cu (0.5000, 0.2784, 0.7784)
Cu (0.5000, 0.7216, 0.2216)
Cu (0.7216, 0.5000, 0.2216)
Pd (0.2500, 0.7500, 0.5000)
Pd (0.7500, 0.2500, 0.5000)

## Properties
The formation energy is 23.8 kJ per mole of atoms. The value obtained for the total magnetization is 0.0 μB/f.u. The density of states at the Fermi level is 0.496 states/eV/atom.

(9)
Below is an optimized crystal structure of Sm8CuPd2, with properties calculated at the PBE-GGA level.

a = 9.4862 Å, b = 9.4862 Å, c = 6.8098 Å
α = 107.58°, β = 107.58°, γ = 31.75°
Sites, in units of the cell vectors:
Sm (0.0284, 0.0284, 0.2884)
Sm (0.2014, 0.2014, 0.8377)
Sm (0.3283, 0.3283, 0.5003)
Sm (0.4081, 0.4081, 0.0354)
Sm (0.5919, 0.5919, 0.9646)
Sm (0.6717, 0.6717, 0.4997)
Sm (0.7986, 0.7986, 0.1623)
Sm (0.9716, 0.9716, 0.7116)
Cu (0.5000, 0.5000, 0.5000)
Pd (0.1733, 0.1733, 0.2336)
Pd (0.8267, 0.8267, 0.7664)

## Properties
The formation energy is -29.4 kJ per mole of atoms. The value obtained for the total magnetization is 0.0 μB/f.u. The calculation puts the relative energy among the computed polymorphs at 0.000 eV per atom. The density of states at the Fermi level is 1.029 states/eV/atom.

(10)
Below is an optimized crystal structure of Sm6Cu2Pd, with properties calculated at the PBE-GGA level.

a = 8.5279 Å, b = 8.5279 Å, c = 8.5279 Å
α = 109.97°, β = 109.70°, γ = 108.74°
Sites, in units of the cell vectors:
Sm (0.0226, 0.8257, 0.1969)
Sm (0.2551, 0.5708, 0.3157)
Sm (0.2551, 0.9394, 0.6843)
Sm (0.2649, 0.3251, 0.5899)
Sm (0.2649, 0.6749, 0.9398)
Sm (0.3713, 0.1743, 0.1969)
Sm (0.6287, 0.8257, 0.8030)
Sm (0.7351, 0.3251, 0.0602)
Sm (0.7351, 0.6749, 0.4101)
Sm (0.7449, 0.0606, 0.3157)
Sm (0.7449, 0.4292, 0.6843)
Sm (0.9774, 0.1743, 0.8030)
Cu (0.0000, 0.1476, 0.1476)
Cu (0.0000, 0.8524, 0.8524)
Cu (0.3806, 0.3806, 0.0000)
Cu (0.6194, 0.6194, 0.0000)
Pd (0.0000, 0.5000, 0.5000)
Pd (0.5000, 0.0000, 0.5000)

## Properties
The formation energy is -23.0 kJ per mole of atoms. The value obtained for the total magnetization is 0.0 μB/f.u. The density of states at the Fermi level is 0.986 states/eV/atom.

(11)
Below is an optimized crystal structure of SmCuPd3, with properties calculated at the PBE-GGA level.

a = 9.2118 Å, b = 9.2118 Å, c = 9.2118 Å
α = 147.53°, β = 147.53°, γ = 46.58°
Sites, in units of the cell vectors:
Sm (0.1196, 0.1196, 0.0000)
Sm (0.8804, 0.8804, 0.0000)
Cu (0.2500, 0.7500, 0.5000)
Cu (0.5000, 0.5000, 0.0000)
Pd (0.3730, 0.1284, 0.7554)
Pd (0.3730, 0.6175, 0.2446)
Pd (0.3825, 0.6270, 0.7554)
Pd (0.5215, 0.0215, 0.5000)
Pd (0.8716, 0.6270, 0.2446)
Pd (0.9785, 0.4785, 0.5000)

## Properties
The formation energy is -14.4 kJ per mole of atoms. The value obtained for the total magnetization is 0.0 μB/f.u. The density of states at the Fermi level is 0.535 states/eV/atom.

(12)
Below is an optimized crystal structure of Sm2CuPd, with properties calculated at the PBE-GGA level.

a = 5.0442 Å, b = 5.0442 Å, c = 3.5754 Å
α = 90.00°, β = 90.00°, γ = 90.00°
Sites, in units of the cell vectors:
Sm (0.0000, 0.5000, 0.0000)
Sm (0.5000, 0.0000, 0.0000)
Cu (0.0000, 0.0000, 0.5000)
Pd (0.5000, 0.5000, 0.5000)

## Properties
The formation energy is -46.5 kJ per mole of atoms. The value obtained for the total magnetization is 0.0 μB/f.u. The density of states at the Fermi level is 0.794 states/eV/atom.